# NdHo2PuAs4

A relaxed NdHo2PuAs4 crystal (GGA-PBE, the Alexandria database).

Energy relative to the elements (eV/atom): -1.38

Cell lengths 4.160, 7.181, 7.192 Å; angles 70.51, 90.00, 90.00 degrees
Site moments in Bohr magnetons follow the coordinates.
Sites, in units of the cell vectors:
Nd 0.500 0.500 0.000  0.02
Ho 0.000 0.000 0.000  -0.03
Ho 0.500 0.000 0.500  0.00
Pu 0.000 0.500 0.500  5.03
As 0.000 0.757 0.743  -0.04
As 0.000 0.243 0.257  -0.04
As 0.500 0.753 0.254  -0.07
As 0.500 0.247 0.746  -0.07

# Fe2AsPt

A relaxed Fe2AsPt crystal (GGA-PBE, the Alexandria database).

Energy relative to the elements (eV/atom): -0.02

Cell lengths 3.892, 2.768, 5.516 Å; angles 69.60, 90.00, 90.00 degrees
Site moments in Bohr magnetons follow the coordinates.
Sites, in units of the cell vectors:
As 0.500 0.750 0.750  -0.05
Fe 0.000 0.939 0.990  2.61
Fe 0.000 0.561 0.510  2.61
Pt 0.500 0.250 0.250  0.24

# Re2MoAu

A relaxed Re2MoAu crystal (GGA-PBE, the Alexandria database).

Energy relative to the elements (eV/atom): 0.36

Cell lengths 2.719, 2.719, 9.144 Å; angles 90.00, 90.00, 108.51 degrees
Sites, in units of the cell vectors:
Au 0.000 0.000 0.501
Mo 0.500 0.500 0.764
Re 0.000 0.000 0.001
Re 0.500 0.500 0.234

# RbTaCd

A relaxed RbTaCd crystal (GGA-PBE, the Alexandria database).

Energy relative to the elements (eV/atom): 0.71

Cell lengths 7.483, 7.483, 5.196 Å; angles 90.00, 90.00, 138.87 degrees
Sites, in units of the cell vectors:
Cd 0.957 0.043 0.250
Cd 0.043 0.957 0.750
Rb 0.221 0.779 0.250
Rb 0.779 0.221 0.750
Ta 0.500 0.500 0.000
Ta 0.500 0.500 0.500

# Mg3Zn13

A relaxed Mg3Zn13 crystal (GGA-PBE, the Alexandria database).

Energy relative to the elements (eV/atom): -0.01

Cell lengths 5.801, 5.801, 7.707 Å; angles 90.00, 90.00, 90.06 degrees
Sites, in units of the cell vectors:
Mg 0.006 0.994 0.742
Mg 0.738 0.262 0.000
Mg 0.006 0.994 0.258
Zn 0.003 0.498 0.743
Zn 0.493 0.507 0.746
Zn 0.502 0.997 0.743
Zn 0.245 0.257 0.000
Zn 0.743 0.755 0.000
Zn 0.256 0.744 0.000
Zn 0.003 0.498 0.257
Zn 0.493 0.507 0.254
Zn 0.502 0.997 0.257
Zn 0.744 0.256 0.500
Zn 0.261 0.256 0.500
Zn 0.744 0.739 0.500
Zn 0.260 0.740 0.500

# Tb4AlTc

A relaxed Tb4AlTc crystal (GGA-PBE, the Alexandria database).

Energy relative to the elements (eV/atom): -0.17

Cell lengths 6.207, 8.943, 7.713 Å; angles 114.57, 99.56, 114.05 degrees
Sites, in units of the cell vectors:
Tb 0.107 0.210 0.844
Tb 0.767 0.721 0.659
Tb 0.237 0.634 0.844
Tb 0.392 0.938 0.659
Tb 0.608 0.062 0.341
Tb 0.763 0.366 0.156
Tb 0.233 0.279 0.341
Tb 0.893 0.790 0.156
Al 0.374 0.624 0.248
Al 0.626 0.376 0.752
Tc 0.249 0.999 0.999
Tc 0.751 0.001 0.001

# TbNdIn6

A relaxed TbNdIn6 crystal (GGA-PBE, the Alexandria database).

Energy relative to the elements (eV/atom): -0.45

Cell lengths 4.682, 4.682, 9.359 Å; angles 90.00, 90.00, 90.00 degrees
Sites, in units of the cell vectors:
Tb 0.000 0.000 0.500
Nd 0.000 0.000 0.000
In 0.500 0.500 0.000
In 0.500 0.500 0.500
In 0.500 0.000 0.254
In 0.500 0.000 0.746
In 0.000 0.500 0.254
In 0.000 0.500 0.746

# Ac2LaTl2

A relaxed Ac2LaTl2 crystal (GGA-PBE, the Alexandria database).

Energy relative to the elements (eV/atom): -0.29

Cell lengths 5.108, 6.659, 6.659 Å; angles 67.73, 67.45, 67.45 degrees
Sites, in units of the cell vectors:
Ac 0.805 0.695 0.695
Ac 0.195 0.305 0.305
La 0.000 0.000 0.000
Tl 0.500 0.718 0.282
Tl 0.500 0.282 0.718

Look up the energy relative to the elements of the first one. -1.38 eV/atom

Number 3 is which compound? Re2MoAu

Among the records above, which one has the highest energy relative to the elements? RbTaCd

What is the energy relative to the elements in the seventh record? -0.45 eV/atom